Entry 1:
Computed, not measured: a relaxed structure of K2In2SnSe6 at the PBE-GGA level of DFT.

Cell and atoms, written as extended XYZ:
```
11
Lattice="-4.487 1.257 5.150 5.634 -3.887 1.177 3.698 7.427 -0.194" Properties=species:S:1:pos:R:3 pbc="T T T"
K -2.795 0.397 4.485
K 3.942 -3.027 1.841
In 4.143 1.524 2.391
In 0.702 3.273 3.742
Sn 1.849 3.713 -0.097
Se 3.404 3.190 4.541
Se 4.497 3.722 0.678
Se 1.442 1.607 1.592
Se 1.185 5.406 1.978
Se 0.348 1.075 5.455
Se 3.661 -0.608 4.155
```

Computed properties:
Crystal system   monoclinic
ΔE_f (raw)   -0.732 eV per atom

---

Entry 2:
Computed, not measured: a relaxed structure of TcHgOs4 at the PBE-GGA level of DFT.

Cell and atoms, written as extended XYZ:
```
6
Lattice="2.819 -3.786 -2.115 2.539 -3.335 3.030 -1.591 -4.910 0.344" Properties=species:S:1:pos:R:3 pbc="T T T"
Tc 0.942 -3.008 0.315
Hg 0.000 0.000 0.000
Os 3.147 -5.067 0.615
Os 1.087 -5.852 -0.724
Os 2.354 -7.515 0.787
Os 0.948 -5.627 1.842
```

Computed properties:
Crystal system   cubic
ΔE_f   0.895 eV per atom

---

Entry 3:
Computed, not measured: a relaxed structure of BeTcBrO2 at the PBE-GGA level of DFT.

Cell and atoms, written as extended XYZ:
```
5
Lattice="3.758 0.000 0.000 0.000 5.986 0.000 0.000 0.000 3.758" Properties=species:S:1:pos:R:3 pbc="T T T"
O 0.000 0.000 1.879
O 1.879 0.000 0.000
Be 1.879 2.993 1.879
Tc 0.000 0.000 0.000
Br 0.000 2.993 0.000
```

Computed properties:
Crystal system   tetragonal
ΔE_f (raw)   -0.315 eV per atom

---

no.,VASP energy (eV/atom)
1,-3.69
2,-8.37
3,-5.45